A plane-wave DFT calculation with PBE was carried out for a relaxed structure of PuGeIr4.

Computed properties:
- total DFT energy (no corrections) (eV for the cell shown) = -221.99
- volume (Å³ per cell) = 418.21
- formation enthalpy at 0 K (eV per atom) = -0.18
- spin magnetization (μB per atom) = 0.62

```
data_PuGeIr4
_chemical_formula_sum 'Pu4 Ge4 Ir16'
_cell_length_a 7.478
_cell_length_b 7.478
_cell_length_c 7.478
_cell_angle_alpha 90.00
_cell_angle_beta 90.00
_cell_angle_gamma 90.00
_space_group_name_H-M_alt 'F -4 3 m'
_space_group_IT_number 216
_space_group_name_Hall 'F -4 2 3'
loop_
_atom_site_label
_atom_site_type_symbol
_atom_site_fract_x
_atom_site_fract_y
_atom_site_fract_z
_atom_site_occupancy
Pu1 Pu 0.000 0.000 0.000 1
Ge1 Ge 0.250 0.250 0.750 1
Ir1 Ir 0.124 0.124 0.376 1
```

---

A plane-wave DFT calculation with PBE was carried out for a relaxed structure of ZnCd5Ag2Au.

Computed properties:
- total DFT energy (no corrections) (eV for the cell shown) = -55.86
- volume (Å³ per cell) = 777.36
- formation enthalpy at 0 K (eV per atom) = 0.10
- spin magnetization (μB per atom) = 0.00

```
data_ZnCd5Ag2Au
_chemical_formula_sum 'Zn4 Cd20 Ag8 Au4'
_cell_length_a 8.212
_cell_length_b 8.212
_cell_length_c 11.529
_cell_angle_alpha 90.00
_cell_angle_beta 90.00
_cell_angle_gamma 90.00
_space_group_name_H-M_alt 'I 4/m c m'
_space_group_IT_number 140
_space_group_name_Hall '-I 4 2c'
loop_
_atom_site_label
_atom_site_type_symbol
_atom_site_fract_x
_atom_site_fract_y
_atom_site_fract_z
_atom_site_occupancy
Zn1 Zn 0.000 0.500 0.250 1
Cd1 Cd 0.000 0.000 0.000 1
Cd2 Cd 0.197 0.303 0.137 1
Ag1 Ag 0.113 0.387 0.500 1
Au1 Au 0.000 0.000 0.250 1
```

---

A plane-wave DFT calculation with PBE was carried out for a relaxed structure of NbVPt2.

Computed properties:
- total DFT energy (no corrections) (eV for the cell shown) = -67.17
- volume (Å³ per cell) = 123.77
- offset from the most stable computed form (meV/atom) = 18
- formation enthalpy at 0 K (eV per atom) = -0.58
- spin magnetization (μB per atom) = 0.00

```
data_NbVPt2
_chemical_formula_sum 'Nb2 V2 Pt4'
_cell_length_a 5.521
_cell_length_b 8.109
_cell_length_c 2.764
_cell_angle_alpha 90.00
_cell_angle_beta 90.00
_cell_angle_gamma 90.00
_space_group_name_H-M_alt 'C m m m'
_space_group_IT_number 65
_space_group_name_Hall '-C 2 2'
loop_
_atom_site_label
_atom_site_type_symbol
_atom_site_fract_x
_atom_site_fract_y
_atom_site_fract_z
_atom_site_occupancy
Nb1 Nb 0.000 0.000 0.000 1
V1 V 0.000 0.500 0.000 1
Pt1 Pt 0.250 0.250 0.500 1
```

---

A plane-wave DFT calculation with PBE was carried out for a relaxed structure of Ho3AlAg2.

Computed properties:
- total DFT energy (no corrections) (eV for the cell shown) = -25.32
- volume (Å³ per cell) = 141.17
- formation enthalpy at 0 K (eV per atom) = -0.36
- spin magnetization (μB per atom) = 0.00

```
data_Ho3AlAg2
_chemical_formula_sum 'Ho3 Al1 Ag2'
_cell_length_a 3.580
_cell_length_b 3.580
_cell_length_c 11.013
_cell_angle_alpha 90.00
_cell_angle_beta 90.00
_cell_angle_gamma 90.00
_space_group_name_H-M_alt 'P 4/m m m'
_space_group_IT_number 123
_space_group_name_Hall '-P 4 2'
loop_
_atom_site_label
_atom_site_type_symbol
_atom_site_fract_x
_atom_site_fract_y
_atom_site_fract_z
_atom_site_occupancy
Ho1 Ho 0.000 0.000 0.000 1
Ho2 Ho 0.000 0.000 0.335 1
Al1 Al 0.500 0.500 0.500 1
Ag1 Ag 0.500 0.500 0.170 1
```

---

A plane-wave DFT calculation with PBE was carried out for a relaxed structure of Tb6Hg2Ir.

Computed properties:
- total DFT energy (no corrections) (eV for the cell shown) = -162.22
- volume (Å³ per cell) = 978.54
- offset from the most stable computed form (meV/atom) = 13
- formation enthalpy at 0 K (eV per atom) = -0.37
- spin magnetization (μB per atom) = 0.00

```
data_Tb6Hg2Ir
_chemical_formula_sum 'Tb24 Hg8 Ir4'
_cell_length_a 9.633
_cell_length_b 9.919
_cell_length_c 10.242
_cell_angle_alpha 90.00
_cell_angle_beta 90.00
_cell_angle_gamma 90.00
_space_group_name_H-M_alt 'I m m m'
_space_group_IT_number 71
_space_group_name_Hall '-I 2 2'
loop_
_atom_site_label
_atom_site_type_symbol
_atom_site_fract_x
_atom_site_fract_y
_atom_site_fract_z
_atom_site_occupancy
Tb1 Tb 0.000 0.169 0.247 1
Tb2 Tb 0.169 0.500 0.233 1
Tb3 Tb 0.233 0.317 0.500 1
Hg1 Hg 0.000 0.354 0.000 1
Hg2 Hg 0.145 0.000 0.500 1
Ir1 Ir 0.000 0.000 0.000 1
Ir2 Ir 0.000 0.500 0.500 1
```

---

A plane-wave DFT calculation with PBE was carried out for a relaxed structure of Sr4Pa3CoN8.

Computed properties:
- total DFT energy (no corrections) (eV for the cell shown) = -378.07
- volume (Å³ per cell) = 787.74
- spin magnetization (μB per atom) = 0.12
- formation energy from raw total energies (meV/atom) = -1069

```
data_Sr4Pa3CoN8
_chemical_formula_sum 'Sr12 Pa9 Co3 N24'
_cell_length_a 7.1330
_cell_length_b 7.1330
_cell_length_c 17.8767
_cell_angle_alpha 90.00
_cell_angle_beta 90.00
_cell_angle_gamma 120.00
_space_group_name_H-M_alt 'R -3 m'
_space_group_IT_number 166
_space_group_name_Hall '-R 3 2"'
loop_
_atom_site_label
_atom_site_type_symbol
_atom_site_fract_x
_atom_site_fract_y
_atom_site_fract_z
_atom_site_occupancy
Sr1 Sr 0.0000 0.0000 0.0000 1
Sr2 Sr 0.0000 0.5000 0.0000 1
Pa1 Pa 0.0000 0.5000 0.5000 1
Co1 Co 0.0000 0.0000 0.5000 1
N1 N 0.0000 0.0000 0.2348 1
N2 N 0.0273 0.5136 0.7658 1
```